Density functional theory data (PBE) for an optimized crystal structure of CaTb2InAu4.

Properties
DOS(E_F)	12.35	states/eV/cell

a = 5.0181 Å, b = 5.0181 Å, c = 24.8586 Å
α = 90.00°, β = 90.00°, γ = 120.00°
Space group R-3m (No. 166, hexagonal axes)
Unique sites:
Ca1 0.0000 0.0000 0.0000 [3 per cell]
Tb1 0.0000 0.0000 0.2449 [6 per cell]
In1 0.0000 0.0000 0.5000 [3 per cell]
Au1 0.0000 0.0000 0.1218 [6 per cell]
Au2 0.0000 0.0000 0.3729 [6 per cell]

Density functional theory data (PBE) for an optimized crystal structure of Np2Ga8Co.

Properties
DOS(E_F)	18.50	states/eV/cell

a = 4.2364 Å, b = 4.2364 Å, c = 11.1134 Å
α = 90.00°, β = 90.00°, γ = 90.00°
Space group P4/mmm (No. 123)
Unique sites:
Np1 0.0000 0.0000 0.1948 [2 per cell]
Ga1 0.0000 0.5000 0.0000 [2 per cell]
Ga2 0.0000 0.5000 0.3830 [4 per cell]
Ga3 0.5000 0.5000 0.1938 [2 per cell]
Co1 0.0000 0.0000 0.5000 [1 per cell]

Density functional theory data (PBE) for an optimized crystal structure of TbHo2Rh.

Properties
DOS(E_F)	4.58	states/eV/cell
excess energy over the best structure of this formula in the dataset	115	meV per atom

a = 3.4845 Å, b = 3.4845 Å, c = 8.5620 Å
α = 90.00°, β = 90.00°, γ = 90.00°
Space group P4/mmm (No. 123)
Unique sites:
Tb1 0.0000 0.0000 0.0000 [1 per cell]
Ho1 0.5000 0.5000 0.3101 [2 per cell]
Rh1 0.0000 0.0000 0.5000 [1 per cell]

Density functional theory data (PBE) for an optimized crystal structure of Zn3Sn2.

Properties
DOS(E_F)	10.91	states/eV/cell

a = 7.7561 Å, b = 7.7561 Å, c = 13.0173 Å
α = 90.00°, β = 90.00°, γ = 120.00°
Space group R-3c (No. 167, hexagonal axes)
Unique sites:
Zn1 0.0000 0.3052 0.2500 [18 per cell]
Sn1 0.0000 0.0000 0.1215 [12 per cell]

no.,ΔE_f (kJ/mol of formula units)
1,-594
2,-275
3,-162
4,80